(1)
The following is a DFT calculation (PBE-GGA) of an optimized crystal structure of NaTh2Tc.

Cell lengths 4.0921, 4.0921, 10.7584 Å; angles 79.04, 79.04, 60.00 degrees
Element x y z (fractional)
Na 0.0000 0.0000 0.0000
Tc 0.5000 0.5000 0.5000
Th 0.1196 0.1196 0.6411
Th 0.8804 0.8804 0.3589

Calculated values
- magnetization (μB per formula unit) = 0.0
- relative energy among the computed polymorphs (meV per atom) = 95
- ΔH_f (0 K) (eV per atom) = 0.157
- crystal system = trigonal



(2)
The following is a DFT calculation (PBE-GGA) of an optimized crystal structure of Ca5ThN4.

Cell lengths 3.6291, 7.3002, 8.0544 Å; angles 101.37, 103.02, 90.00 degrees
Element x y z (fractional)
Ca 0.8407 0.7027 0.6814
Ca 0.8291 0.1390 0.6582
Ca 0.1709 0.8610 0.3418
Ca 0.5000 0.5000 0.0000
Ca 0.1593 0.2973 0.3186
Th 0.5000 0.0000 0.0000
N 0.3380 0.9211 0.6760
N 0.9998 0.7609 0.9996
N 0.6620 0.0789 0.3240
N 0.0002 0.2391 0.0004

Calculated values
- magnetization (μB per formula unit) = 0.6
- crystal system = monoclinic
- formation energy (no corrections) (eV/atom) = -0.98



(3)
The following is a DFT calculation (PBE-GGA) of an optimized crystal structure of Re2Si2Sn.

Cell lengths 3.4823, 3.4823, 6.9957 Å; angles 75.59, 75.59, 90.00 degrees
Element x y z (fractional)
Re 0.3841 0.3841 0.2318
Re 0.6159 0.6159 0.7682
Si 0.7500 0.2500 0.5000
Si 0.2500 0.7500 0.5000
Sn 0.0000 0.0000 0.0000

Calculated values
- magnetization (μB per formula unit) = 0.0
- crystal system = tetragonal
- formation energy (no corrections) (eV/atom) = -0.04



(4)
The following is a DFT calculation (PBE-GGA) of an optimized crystal structure of As2HIBr.

Cell lengths 4.7219, 4.7219, 4.5016 Å; angles 90.00, 90.00, 90.00 degrees
Element x y z (fractional)
I 0.5000 0.5000 0.5000
H 0.0000 0.0000 0.0000
As 0.0000 0.5000 0.0000
As 0.5000 0.0000 0.0000
Br 0.0000 0.0000 0.5000

Calculated values
- magnetization (μB per formula unit) = 0.0
- relative energy among the computed polymorphs (meV per atom) = 0
- crystal system = tetragonal



(5)
The following is a DFT calculation (PBE-GGA) of an optimized crystal structure of ZrBe2Te.

Cell lengths 3.7298, 3.6174, 5.1781 Å; angles 90.00, 90.00, 90.00 degrees
Element x y z (fractional)
Be 0.0000 0.2507 0.9376
Be 0.0000 0.2493 0.5624
Te 0.5000 0.2500 0.2500
Zr 0.5000 0.7500 0.7500

Calculated values
- magnetization (μB per formula unit) = 0.0
- crystal system = orthorhombic
- formation energy (no corrections) (eV/atom) = 0.04



(6)
The following is a DFT calculation (PBE-GGA) of an optimized crystal structure of Tb3TmZn2.

Cell lengths 3.5774, 3.5774, 12.0922 Å; angles 90.00, 90.00, 90.00 degrees
Element x y z (fractional)
Tb 0.0000 0.0000 0.0000
Tb 0.0000 0.0000 0.7067
Tb 0.0000 0.0000 0.2933
Tm 0.5000 0.5000 0.5000
Zn 0.5000 0.5000 0.8534
Zn 0.5000 0.5000 0.1466

Calculated values
- magnetization (μB per formula unit) = 0.0
- relative energy among the computed polymorphs (meV per atom) = 13
- ΔH_f (0 K) (eV per atom) = -0.217
- crystal system = tetragonal



(7)
The following is a DFT calculation (PBE-GGA) of an optimized crystal structure of InOsAu2.

Cell lengths 3.9202, 3.9202, 10.3926 Å; angles 79.13, 79.13, 90.00 degrees
Last column: magnetic moment on the atom in μB.
Element x y z (fractional)
Os 0.0000 0.0000 0.0000  0.78
Os 0.7500 0.2500 0.5000  0.79
Au 0.6334 0.1250 0.2500  0.02
Au 0.1166 0.6250 0.2500  0.02
Au 0.3750 0.3666 0.7500  0.02
Au 0.8750 0.8834 0.7500  0.02
In 0.5000 0.5000 0.0000  -0.03
In 0.2500 0.7500 0.5000  -0.02

Calculated values
- magnetization (μB per formula unit) = 0.8
- ΔH_f (0 K) (eV per atom) = 0.621
- crystal system = tetragonal



(8)
The following is a DFT calculation (PBE-GGA) of an optimized crystal structure of MgSiSe2.

Cell lengths 5.4008, 5.4008, 5.4008 Å; angles 139.44, 99.51, 94.31 degrees
Element x y z (fractional)
Mg 0.2500 0.7500 0.5000
Se 0.9964 0.9964 0.0000
Se 0.5036 0.5036 0.0000
Si 0.7500 0.2500 0.5000

Calculated values
- magnetization (μB per formula unit) = 0.0
- crystal system = orthorhombic
- formation energy (no corrections) (eV/atom) = -0.19



(9)
The following is a DFT calculation (PBE-GGA) of an optimized crystal structure of TcNi2Os.

Cell lengths 8.6224, 8.6224, 8.6224 Å; angles 17.66, 17.66, 17.66 degrees
Element x y z (fractional)
Ni 0.0003 0.0003 0.0003
Ni 0.4997 0.4997 0.4997
Os 0.2500 0.2500 0.2500
Tc 0.7500 0.7500 0.7500

Calculated values
- magnetization (μB per formula unit) = 0.0
- relative energy among the computed polymorphs (meV per atom) = 130
- ΔH_f (0 K) (eV per atom) = 0.154
- crystal system = trigonal



(10)
The following is a DFT calculation (PBE-GGA) of an optimized crystal structure of NbNiC.

Cell lengths 6.1918, 7.5136, 3.0751 Å; angles 90.00, 90.00, 90.00 degrees
Element x y z (fractional)
Ni 0.7094 0.0000 0.5000
Ni 0.2906 0.0000 0.5000
Ni 0.2094 0.5000 0.5000
Ni 0.7906 0.5000 0.5000
Nb 0.0000 0.7830 0.0000
Nb 0.0000 0.2170 0.0000
Nb 0.5000 0.2830 0.0000
Nb 0.5000 0.7170 0.0000
C 0.2500 0.2500 0.5000
C 0.2500 0.7500 0.5000
C 0.7500 0.2500 0.5000
C 0.7500 0.7500 0.5000

Calculated values
- magnetization (μB per formula unit) = 0.0
- relative energy among the computed polymorphs (meV per atom) = 0
- ΔH_f (0 K) (eV per atom) = -0.239
- crystal system = orthorhombic